(1)
A plane-wave DFT calculation with PBE with a Hubbard U was carried out for a relaxed Ca3Cr3As4O16 crystal.

Computed properties:
Magnetization = 0.4615 μB/atom
Space-group type = P2_1/c (14)

Cell: 5.2358 9.3330 15.5374 Å, 95.70 90.00 90.00°
With the nearest neighbours (Å) after each atom.
Fractional positions:
1 Ca 0.5286 0.4696 0.7676  4 O 2.30-2.51
2 Ca 0.0286 0.0304 0.7324  4 O 2.30-2.51
3 Ca 0.4714 0.5304 0.2324  4 O 2.30-2.51
4 Ca 0.9714 0.9696 0.2676  4 O 2.30-2.51
5 Ca 0.5000 0.5000 0.5000  6 O 2.29-2.48
6 Ca 0.0000 0.0000 0.0000  6 O 2.29-2.48
7 Cr 0.4829 0.1722 0.3799  4 O 2.03-2.16
8 Cr 0.5171 0.8278 0.6201  4 O 2.03-2.16
9 Cr 0.9829 0.3278 0.1201  4 O 2.03-2.16
10 Cr 0.0171 0.6722 0.8799  4 O 2.03-2.16
11 Cr 0.0000 0.0000 0.5000  4 O 2.04-2.07
12 Cr 0.5000 0.5000 0.0000  4 O 2.04-2.07
13 As 0.0104 0.6187 0.6562  4 O 1.69-1.74
14 As 0.4931 0.1640 0.5986  4 O 1.68-1.77
15 As 0.9931 0.3360 0.9014  4 O 1.68-1.77
16 As 0.0069 0.6640 0.0986  4 O 1.68-1.77
17 As 0.9896 0.3813 0.3438  4 O 1.69-1.74
18 As 0.5069 0.8360 0.4014  4 O 1.68-1.77
19 As 0.4896 0.1187 0.1562  4 O 1.69-1.74
20 As 0.5104 0.8813 0.8438  4 O 1.69-1.74
21 O 0.4437 0.9262 0.7399  1 As 1.74
22 O 0.9509 0.2472 0.9921  1 As 1.72
23 O 0.3957 0.2608 0.6897  1 As 1.68
24 O 0.4163 0.7045 0.8515  1 As 1.74
25 O 0.6043 0.7392 0.3103  1 As 1.68
26 O 0.0563 0.4262 0.2399  1 As 1.74
27 O 0.8957 0.2392 0.8103  1 As 1.68
28 O 0.7018 0.5944 0.1050  1 As 1.73
29 O 0.6553 0.9974 0.0906  1 As 1.69
30 O 0.5563 0.0738 0.2601  1 As 1.74
31 O 0.0837 0.2045 0.3515  1 As 1.74
32 O 0.2982 0.4056 0.8950  1 As 1.73
33 O 0.2983 0.0090 0.5850  1 As 1.77
34 O 0.3447 0.0026 0.9094  1 As 1.69
35 O 0.6609 0.3943 0.3576  1 As 1.74
36 O 0.1609 0.1057 0.1424  1 As 1.74
37 O 0.7983 0.4910 0.9150  1 As 1.77
38 O 0.1043 0.7608 0.1897  1 As 1.68
39 O 0.1553 0.5026 0.4094  1 As 1.69
40 O 0.2018 0.9056 0.3950  1 As 1.73
41 O 0.8391 0.8943 0.8576  1 As 1.74
42 O 0.3391 0.6057 0.6424  1 As 1.74
43 O 0.0491 0.7528 0.0079  1 As 1.72
44 O 0.4509 0.2528 0.5079  1 As 1.72
45 O 0.7017 0.9910 0.4150  1 As 1.77
46 O 0.9437 0.5738 0.7601  1 As 1.74
47 O 0.5837 0.2955 0.1485  1 As 1.74
48 O 0.8447 0.4974 0.5906  1 As 1.69
49 O 0.5491 0.7472 0.4921  1 As 1.72
50 O 0.7982 0.0944 0.6050  1 As 1.73
51 O 0.2017 0.5090 0.0850  1 As 1.77
52 O 0.9163 0.7955 0.6485  1 As 1.74



(2)
A plane-wave DFT calculation with PBE with a Hubbard U was carried out for a relaxed CaCrAsO5 crystal.

Computed properties:
Magnetization = 0.3750 μB/atom
Space-group type = C2/c (15)

Cell: 5.6271 5.6271 7.1846 Å, 104.07 104.07 105.70°
With the nearest neighbours (Å) after each atom.
Fractional positions:
1 Ca 0.3216 0.6784 0.2500  1 O 2.18
2 Ca 0.6784 0.3216 0.7500  1 O 2.18
3 Cr 0.0000 0.0000 0.5000  6 O 1.93-2.09
4 Cr 0.0000 0.0000 0.0000  6 O 1.93-2.09
5 As 0.6801 0.3199 0.2500  4 O 1.73
6 As 0.3199 0.6801 0.7500  4 O 1.73
7 O 0.0784 0.9216 0.2500  2 Cr 1.93
8 O 0.9216 0.0784 0.7500  2 Cr 1.93
9 O 0.8972 0.3210 0.1156  1 As 1.73
10 O 0.1028 0.6790 0.8844  1 As 1.73
11 O 0.6790 0.1028 0.3844  1 As 1.73
12 O 0.3210 0.8972 0.6156  1 As 1.73
13 O 0.7423 0.6193 0.4250  1 As 1.73
14 O 0.2577 0.3807 0.5750  1 As 1.73
15 O 0.3807 0.2577 0.0750  1 As 1.73
16 O 0.6193 0.7423 0.9250  1 As 1.73



no.,total DFT energy (no corrections) (Ry/atom)
1,-0.496
2,-0.504